Material: Co15Ni2Rh2
Method: DFT, PBE
State: relaxed

Cell lengths 6.1421, 6.1421, 6.1421 Å; angles 81.88, 81.88, 81.88 degrees
Fractional coordinates of all 19 atoms:
Co (0.1547, 0.6438, 0.6438)
Ni (0.8994, 0.8994, 0.8994)
Co (0.8453, 0.3562, 0.3562)
Co (0.7020, 0.0000, 0.2980)
Co (0.6438, 0.1547, 0.6438)
Rh (0.6748, 0.6748, 0.6748)
Co (0.2980, 0.0000, 0.7020)
Co (0.3562, 0.3562, 0.8453)
Rh (0.3252, 0.3252, 0.3252)
Co (0.7020, 0.2980, 0.0000)
Co (0.2980, 0.7020, 0.0000)
Co (0.0000, 0.0000, 0.5000)
Co (0.0000, 0.7020, 0.2980)
Co (0.6438, 0.6438, 0.1547)
Co (0.0000, 0.2980, 0.7020)
Ni (0.1006, 0.1006, 0.1006)
Co (0.5000, 0.0000, 0.0000)
Co (0.0000, 0.5000, 0.0000)
Co (0.3562, 0.8453, 0.3562)

Summary:
Space group: R-3m, No. 166
ΔH_f (0 K) (eV per atom): 0.168
Calculated volume (Å³/cell): 225
D(E_F) (states/eV per cell): 18.271


Material: HfMgZr2Ru
Method: DFT, PBE
State: relaxed

Cell lengths 5.0410, 4.9970, 5.0410 Å; angles 90.00, 90.00, 90.00 degrees
Fractional coordinates of all 5 atoms:
Zr (0.5000, 0.0000, 0.0000)
Mg (0.5000, 0.5000, 0.5000)
Ru (0.0000, 0.0000, 0.0000)
Zr (0.0000, 0.0000, 0.5000)
Hf (0.0000, 0.5000, 0.0000)

Summary:
Space group: P4/mmm, No. 123
ΔH_f (0 K) (eV per atom): 0.278
Calculated volume (Å³/cell): 127
D(E_F) (states/eV per cell): 8.885